VASP calculation (GGA-PBE) on a relaxed structure of ScTaAlOs.

Its size of the total moment is 0.00 μB/f.u.

The space group is F-43m (No. 216) and the conventional cell measures 6.408, 6.408 and 6.408 Å, with angles of 90.00, 90.00 and 90.00 degrees. The asymmetric unit holds Sc at (0.000, 0.000, 0.000), Ta at (0.250, 0.250, 0.750), Al at (0.250, 0.250, 0.250) and Os at (0.000, 0.000, 0.500).

=====

VASP calculation (GGA-PBE) on a relaxed structure of Y12Tm2Th5.

Its size of the total moment is 0.00 μB/f.u.

The space group is C2/m (No. 12) and the conventional cell measures 18.781, 7.081 and 10.201 Å, with angles of 90.00, 113.21 and 90.00 degrees. The asymmetric unit holds Y at (0.005, 0.000, 0.322), Y at (0.026, 0.500, 0.235), Y at (0.158, 0.254, 0.863), Y at (0.167, 0.252, 0.517), Tm at (0.000, 0.214, 0.000), Th at (0.000, 0.500, 0.500), Th at (0.176, 0.000, 0.207) and Th at (0.184, 0.500, 0.180).

=====

DFT formation energy values (in meV per atom) by entry order: -331, 217.